Run 1
Compound: BaYF5
Source: Alexandria via LeMat-Bulk
Functional: PBE
Structure: relaxed

size of the total moment	0.4	μB per cell

Cell: 7.7231 8.4514 11.3112 Å, 79.21 87.46 79.45°
Fractional coordinates of all 42 atoms:
Ba 0.1267 0.4474 0.2304
Ba 0.2101 0.1347 0.5591
Ba 0.2802 0.7444 0.8991
Ba 0.7198 0.2556 0.1009
Ba 0.7899 0.8653 0.4409
Ba 0.8733 0.5526 0.7696
Y 0.2695 0.9617 0.2292
Y 0.2771 0.2363 0.9310
Y 0.3064 0.6751 0.5014
Y 0.6936 0.3249 0.4986
Y 0.7229 0.7637 0.0690
Y 0.7305 0.0383 0.7708
F 0.0066 0.6710 0.0405
F 0.0333 0.1582 0.2056
F 0.0424 0.6281 0.5572
F 0.1314 0.9245 0.4290
F 0.1860 0.9966 0.0330
F 0.1906 0.7063 0.3080
F 0.2216 0.4713 0.7951
F 0.2231 0.1076 0.7891
F 0.3129 0.8053 0.6481
F 0.3180 0.1605 0.3271
F 0.3333 0.4260 0.0380
F 0.3891 0.4244 0.4567
F 0.4429 0.1050 0.1024
F 0.4470 0.7657 0.1368
F 0.4675 0.8322 0.3784
F 0.5325 0.1678 0.6216
F 0.5530 0.2343 0.8632
F 0.5571 0.8950 0.8976
F 0.6109 0.5756 0.5433
F 0.6667 0.5740 0.9620
F 0.6820 0.8395 0.6729
F 0.6871 0.1947 0.3519
F 0.7769 0.8924 0.2109
F 0.7784 0.5287 0.2049
F 0.8094 0.2937 0.6920
F 0.8140 0.0034 0.9670
F 0.8686 0.0755 0.5710
F 0.9576 0.3719 0.4428
F 0.9667 0.8418 0.7944
F 0.9934 0.3290 0.9595

---

Run 2
Compound: BaYF5
Source: Alexandria via LeMat-Bulk
Functional: PBE
Structure: relaxed

size of the total moment	0.0	μB per cell

Cell: 8.5014 8.5014 5.9719 Å, 90.74 90.74 149.53°
Fractional coordinates of all 14 atoms:
Ba 0.1730 0.8270 0.7500
Ba 0.8270 0.1730 0.2500
Y 0.4262 0.5738 0.7500
Y 0.5738 0.4262 0.2500
F 0.1161 0.8839 0.2500
F 0.2411 0.3116 0.4054
F 0.3047 0.6716 0.9876
F 0.3116 0.2411 0.9054
F 0.3284 0.6953 0.5124
F 0.6716 0.3047 0.4876
F 0.6884 0.7589 0.0946
F 0.6953 0.3284 0.0124
F 0.7589 0.6884 0.5946
F 0.8839 0.1161 0.7500

---

Run 3
Compound: BaYF5
Source: Alexandria via LeMat-Bulk
Functional: PBE
Structure: relaxed

size of the total moment	0.0	μB per cell

Cell: 7.6688 7.6738 8.0604 Å, 90.00 91.19 90.00°
Fractional coordinates of all 28 atoms:
Ba 0.1438 0.2500 0.0326
Ba 0.3269 0.7500 0.2391
Ba 0.6731 0.2500 0.7609
Ba 0.8562 0.7500 0.9674
Y 0.2126 0.2500 0.5195
Y 0.3105 0.7500 0.7577
Y 0.6895 0.2500 0.2423
Y 0.7874 0.7500 0.4805
F 0.0256 0.2500 0.7222
F 0.0667 0.7500 0.6098
F 0.1763 0.5853 0.9551
F 0.1763 0.9147 0.9551
F 0.2318 0.0627 0.3152
F 0.2318 0.4373 0.3152
F 0.3398 0.0446 0.6886
F 0.3398 0.4554 0.6886
F 0.4836 0.7500 0.5393
F 0.4875 0.2500 0.0451
F 0.5125 0.7500 0.9549
F 0.5164 0.2500 0.4607
F 0.6602 0.5446 0.3114
F 0.6602 0.9554 0.3114
F 0.7682 0.5627 0.6848
F 0.7682 0.9373 0.6848
F 0.8237 0.0853 0.0449
F 0.8237 0.4147 0.0449
F 0.9333 0.2500 0.3902
F 0.9744 0.7500 0.2778

---

Most stable one: run 2, least stable one: run 1.

---

Run 1
Compound: BaY2F
Source: Alexandria via LeMat-Bulk
Functional: PBE
Structure: relaxed

size of the total moment	0.0	μB per cell

Cell: 5.4947 5.4947 5.4947 Å, 60.00 60.00 60.00°
Fractional coordinates of all 4 atoms:
Ba 0.0000 0.0000 0.0000
Y 0.2500 0.2500 0.2500
Y 0.7500 0.7500 0.7500
F 0.5000 0.5000 0.5000

---

Run 2
Compound: BaY2F
Source: Alexandria via LeMat-Bulk
Functional: PBE
Structure: relaxed

size of the total moment	0.0	μB per cell

Cell: 7.2814 7.2814 7.2814 Å, 117.90 117.90 93.67°
Fractional coordinates of all 8 atoms:
Ba 0.0000 0.0000 0.0000
Ba 0.7500 0.2500 0.5000
Y 0.3131 0.1250 0.6881
Y 0.3750 0.6869 0.8119
Y 0.4369 0.6250 0.3119
Y 0.8750 0.5631 0.1881
F 0.2500 0.7500 0.5000
F 0.5000 0.5000 0.0000

---

Most stable one: run 2, least stable one: run 1.

---

Run 1
Compound: BaY3F
Source: Alexandria via LeMat-Bulk
Functional: PBE
Structure: relaxed

size of the total moment	0.0	μB per cell

Cell: 5.2785 5.2785 5.2785 Å, 90.00 90.00 90.00°
Fractional coordinates of all 5 atoms:
Ba 0.0000 0.0000 0.0000
Y 0.0000 0.5000 0.5000
Y 0.5000 0.0000 0.5000
Y 0.5000 0.5000 0.0000
F 0.5000 0.5000 0.5000

---

Run 2
Compound: BaY3F
Source: Alexandria via LeMat-Bulk
Functional: PBE
Structure: relaxed

size of the total moment	0.0	μB per cell

Cell: 5.8007 5.8007 5.8007 Å, 90.00 90.00 90.00°
Fractional coordinates of all 5 atoms:
Ba 0.0000 0.0000 0.0000
Y 0.0000 0.0000 0.5000
Y 0.0000 0.5000 0.0000
Y 0.5000 0.0000 0.0000
F 0.5000 0.5000 0.5000

---

Most stable one: run 1, least stable one: run 2.

---

Run 1
Compound: BaYF3
Source: Alexandria via LeMat-Bulk
Functional: PBE
Structure: relaxed

size of the total moment	1.5	μB per cell

Cell: 4.6916 4.6916 4.6916 Å, 90.00 90.00 90.00°
Fractional coordinates of all 5 atoms:
Ba 0.0000 0.0000 0.0000
Y 0.5000 0.5000 0.5000
F 0.0000 0.5000 0.5000
F 0.5000 0.0000 0.5000
F 0.5000 0.5000 0.0000

---

Run 2
Compound: BaYF3
Source: Alexandria via LeMat-Bulk
Functional: PBE
Structure: relaxed

size of the total moment	1.5	μB per cell

Cell: 5.0557 5.0557 5.0557 Å, 90.00 90.00 90.00°
Fractional coordinates of all 5 atoms:
Ba 0.0000 0.0000 0.0000
Y 0.5000 0.5000 0.5000
F 0.0000 0.0000 0.5000
F 0.0000 0.5000 0.0000
F 0.5000 0.0000 0.0000

---

Most stable one: run 1, least stable one: run 2.

---

Run 1
Compound: Ba3YF
Source: Alexandria via LeMat-Bulk
Functional: PBE
Structure: relaxed

size of the total moment	0.0	μB per cell

Cell: 5.7880 5.7880 5.7880 Å, 90.00 90.00 90.00°
Fractional coordinates of all 5 atoms:
Ba 0.0000 0.0000 0.5000
Ba 0.0000 0.5000 0.0000
Ba 0.5000 0.0000 0.0000
Y 0.5000 0.5000 0.5000
F 0.0000 0.0000 0.0000

---

Run 2
Compound: Ba3YF
Source: Alexandria via LeMat-Bulk
Functional: PBE
Structure: relaxed

size of the total moment	3.4	μB per cell

Cell: 6.7544 6.7544 6.7544 Å, 90.00 90.00 90.00°
Fractional coordinates of all 5 atoms:
Ba 0.0000 0.0000 0.5000
Ba 0.0000 0.5000 0.0000
Ba 0.5000 0.0000 0.0000
Y 0.0000 0.0000 0.0000
F 0.5000 0.5000 0.5000

---

Most stable one: run 1, least stable one: run 2.

---

Run 1
Compound: Ba2YF7
Source: Alexandria via LeMat-Bulk
Functional: PBE
Structure: relaxed

size of the total moment	0.5	μB per cell

Cell: 5.9250 13.1769 8.8909 Å, 90.00 90.70 90.00°
Fractional coordinates of all 40 atoms:
Ba 0.2371 0.0629 0.3255
Ba 0.2371 0.4371 0.8255
Ba 0.2367 0.7209 0.4428
Ba 0.2367 0.7791 0.9428
Ba 0.7633 0.2209 0.0572
Ba 0.7633 0.2791 0.5572
Ba 0.7629 0.5629 0.1745
Ba 0.7629 0.9371 0.6745
Y 0.2750 0.1243 0.7889
Y 0.2750 0.3757 0.2889
Y 0.7250 0.6243 0.7111
Y 0.7250 0.8757 0.2111
F 0.0174 0.2475 0.3088
F 0.0174 0.2525 0.8088
F 0.0186 0.1046 0.5952
F 0.0186 0.3954 0.0952
F 0.1978 0.5401 0.2895
F 0.1978 0.9599 0.7895
F 0.2058 0.1388 0.0329
F 0.2058 0.3612 0.5329
F 0.3824 0.5735 0.6277
F 0.3824 0.9265 0.1277
F 0.4889 0.1046 0.5805
F 0.4892 0.2331 0.3006
F 0.4892 0.2669 0.8006
F 0.4889 0.3954 0.0805
F 0.5111 0.6046 0.9195
F 0.5108 0.7331 0.1994
F 0.5108 0.7669 0.6994
F 0.5111 0.8954 0.4195
F 0.6176 0.0735 0.8723
F 0.6176 0.4265 0.3723
F 0.7942 0.6388 0.4671
F 0.7942 0.8612 0.9671
F 0.8022 0.0401 0.2105
F 0.8022 0.4599 0.7105
F 0.9814 0.6046 0.9048
F 0.9814 0.8954 0.4048
F 0.9826 0.7475 0.1912
F 0.9826 0.7525 0.6912

---

Run 2
Compound: Ba2YF7
Source: Alexandria via LeMat-Bulk
Functional: PBE
Structure: relaxed

size of the total moment	0.8	μB per cell

Cell: 9.0155 8.0945 11.3632 Å, 90.00 90.00 90.00°
Fractional coordinates of all 40 atoms:
Ba 0.1092 0.2500 0.2433
Ba 0.1924 0.7500 0.3959
Ba 0.3076 0.2500 0.8959
Ba 0.3908 0.7500 0.7433
Ba 0.6092 0.2500 0.2567
Ba 0.6924 0.7500 0.1041
Ba 0.8076 0.2500 0.6041
Ba 0.8908 0.7500 0.7567
Y 0.1843 0.7500 0.0549
Y 0.3157 0.2500 0.5549
Y 0.6843 0.7500 0.4451
Y 0.8157 0.2500 0.9451
F 0.0461 0.2500 0.0134
F 0.0904 0.2500 0.6172
F 0.1296 0.5706 0.1932
F 0.1296 0.9294 0.1932
F 0.1335 0.7500 0.6292
F 0.2471 0.5732 0.9145
F 0.2471 0.9268 0.9145
F 0.2529 0.0732 0.4145
F 0.2529 0.4268 0.4145
F 0.3665 0.2500 0.1292
F 0.3704 0.0706 0.6932
F 0.3704 0.4294 0.6932
F 0.4096 0.7500 0.1172
F 0.4539 0.7500 0.5134
F 0.5461 0.2500 0.4866
F 0.5904 0.2500 0.8828
F 0.6296 0.5706 0.3068
F 0.6296 0.9294 0.3068
F 0.6335 0.7500 0.8708
F 0.7471 0.5732 0.5855
F 0.7471 0.9268 0.5855
F 0.7529 0.0732 0.0855
F 0.7529 0.4268 0.0855
F 0.8665 0.2500 0.3708
F 0.8704 0.0706 0.8068
F 0.8704 0.4294 0.8068
F 0.9096 0.7500 0.3828
F 0.9539 0.7500 0.9866

---

Most stable one: run 1, least stable one: run 2.

---

Run 1
Compound: Ba2ZnF
Source: Alexandria via LeMat-Bulk
Functional: PBE
Structure: relaxed

size of the total moment	0.7	μB per cell

Cell: 5.6375 5.6375 5.6375 Å, 60.00 60.00 60.00°
Fractional coordinates of all 4 atoms:
Ba 0.2500 0.2500 0.2500
Ba 0.7500 0.7500 0.7500
Zn 0.0000 0.0000 0.0000
F 0.5000 0.5000 0.5000

---

Run 2
Compound: Ba2ZnF
Source: Alexandria via LeMat-Bulk
Functional: PBE
Structure: relaxed

size of the total moment	0.0	μB per cell

Cell: 7.3127 7.3127 7.3127 Å, 116.15 116.15 96.80°
Fractional coordinates of all 8 atoms:
Ba 0.0577 0.6250 0.9327
Ba 0.3750 0.3077 0.4327
Ba 0.6923 0.1250 0.0673
Ba 0.8750 0.9423 0.5673
Zn 0.2500 0.7500 0.5000
Zn 0.5000 0.5000 0.0000
F 0.0000 0.0000 0.0000
F 0.7500 0.2500 0.5000

---

Most stable one: run 2, least stable one: run 1.

---

Run 1
Compound: Ba2ZrF8
Source: Alexandria via LeMat-Bulk
Functional: PBE
Structure: relaxed

size of the total moment	0.4	μB per cell

Cell: 9.9877 5.7130 12.0367 Å, 90.00 90.00 90.00°
Fractional coordinates of all 44 atoms:
Ba 0.0479 0.2500 0.1595
Ba 0.1373 0.2500 0.5592
Ba 0.3627 0.7500 0.0592
Ba 0.4521 0.7500 0.6595
Ba 0.5479 0.2500 0.3405
Ba 0.6373 0.2500 0.9408
Ba 0.8627 0.7500 0.4408
Ba 0.9521 0.7500 0.8405
Zr 0.2412 0.7500 0.3595
Zr 0.2588 0.2500 0.8595
Zr 0.7412 0.7500 0.1405
Zr 0.7588 0.2500 0.6405
F 0.0942 0.0126 0.3611
F 0.0942 0.4874 0.3611
F 0.1410 0.7500 0.1919
F 0.1429 0.7500 0.5236
F 0.1462 0.0172 0.9651
F 0.1462 0.4828 0.9651
F 0.1548 0.0138 0.7563
F 0.1548 0.4862 0.7563
F 0.3452 0.5138 0.2563
F 0.3452 0.9862 0.2563
F 0.3538 0.5172 0.4651
F 0.3538 0.9828 0.4651
F 0.3571 0.2500 0.0236
F 0.3590 0.2500 0.6919
F 0.4058 0.5126 0.8611
F 0.4058 0.9874 0.8611
F 0.5942 0.0126 0.1389
F 0.5942 0.4874 0.1389
F 0.6410 0.7500 0.3081
F 0.6429 0.7500 0.9764
F 0.6462 0.0172 0.5349
F 0.6462 0.4828 0.5349
F 0.6548 0.0138 0.7437
F 0.6548 0.4862 0.7437
F 0.8452 0.5138 0.2437
F 0.8452 0.9862 0.2437
F 0.8538 0.5172 0.0349
F 0.8538 0.9828 0.0349
F 0.8571 0.2500 0.4764
F 0.8590 0.2500 0.8081
F 0.9058 0.5126 0.6389
F 0.9058 0.9874 0.6389

---

Run 2
Compound: Ba2ZrF8
Source: Alexandria via LeMat-Bulk
Functional: PBE
Structure: relaxed

size of the total moment	0.2	μB per cell

Cell: 8.6858 8.6858 5.4226 Å, 106.80 106.80 27.07°
Fractional coordinates of all 11 atoms:
Ba 0.1652 0.1652 0.1689
Ba 0.8348 0.8348 0.8311
Zr 0.5000 0.5000 0.5000
F 0.0091 0.0091 0.2973
F 0.2307 0.2307 0.7470
F 0.3917 0.3917 0.6009
F 0.4121 0.4121 0.1428
F 0.5879 0.5879 0.8572
F 0.6083 0.6083 0.3991
F 0.7693 0.7693 0.2530
F 0.9909 0.9909 0.7027

---

Most stable one: run 1, least stable one: run 2.